Ce2PtF: optimized geometry, PBE.

Output
Space group: R-3m (166)
ρ in Mg/m³: 6.7
Electronic total energy in eV/atom: -6.6436
Formation energy (no corrections) in kJ per mole of atoms: -163.89

The structure in extended XYZ format:
```
4
Lattice="2.158 1.246 7.549 -2.158 1.246 7.549 0.000 -2.492 7.549" Properties=species:S:1:pos:R:3 pbc="T T T"
Ce 0.000 0.000 2.310
Ce 0.000 0.000 20.337
Pt 0.000 0.000 11.324
F 0.000 0.000 0.000
```